A plane-wave DFT calculation with GGA-PBEsol was carried out for a geometry-optimized Ti4Bi2O11 structure.

Summary:
Size of the total moment, μB/atom: 0.00
Total DFT energy (no corrections), eV per atom: -8.405
Uncorrected formation energy, eV per atom: -2.55
DOS(E_F), states/eV per atom: 0.00
Crystal system: monoclinic

abc: 7.5842 7.5842 10.1376
angles: 131.17 131.17 28.78
Closest atoms and distances in Å follow each position.
Sites, in units of the cell vectors:
Ti  0.1188  0.1188  0.0326  6 O 1.87-2.02
Ti  0.1626  0.1626  0.7177  4 O 1.81-1.94
Ti  0.8374  0.8374  0.2823  4 O 1.81-1.94
Ti  0.8812  0.8812  0.9674  6 O 1.87-2.02
Bi  0.3913  0.3913  0.6408  3 O 2.17-2.36
Bi  0.6087  0.6087  0.3592  3 O 2.17-2.36
O  0.0000  0.0000  0.5000  2 Ti 1.85
O  0.0637  0.0637  0.1692  2 Ti 1.98-2.02
O  0.1247  0.1247  0.8540  2 Ti 1.81-1.87
O  0.2081  0.2081  0.5494  3 Bi 2.17-2.36, 1 Ti 2.22
O  0.2995  0.2995  0.2615  3 Ti 1.94-2.01
O  0.3552  0.3552  0.9298  3 Ti 1.91-2.09
O  0.6448  0.6448  0.0702  3 Ti 1.91-2.09
O  0.7005  0.7005  0.7385  3 Ti 1.94-2.01
O  0.7919  0.7919  0.4506  3 Bi 2.17-2.36, 1 Ti 2.22
O  0.8753  0.8753  0.1460  2 Ti 1.81-1.87
O  0.9363  0.9363  0.8308  2 Ti 1.98-2.02